Material: Ru2C
Method: DFT, PBE-GGA
State: relaxed

Cell: 9.950 9.950 9.950 Å, 164.52 164.18 22.20°
Sites, in units of the cell vectors:
1 Ru 0.303 0.053 0.250
2 Ru 0.437 0.187 0.250
3 Ru 0.563 0.813 0.750
4 Ru 0.697 0.947 0.750
5 C 0.107 0.357 0.750
6 C 0.893 0.643 0.250

Results
M_tot   0.00 μB per formula unit
Energy   -0.3064 Ha/atom
Energy above the most stable polymorph in this dataset   0.611 eV/atom
DOS(E_F)   5.35 states/eV per cell
Formation energy   0.92 eV/atom

---

Material: RuC3S
Method: DFT, PBE-GGA
State: relaxed

Cell: 4.007 4.007 4.007 Å, 90.00 90.00 90.00°
Sites, in units of the cell vectors:
1 Ru 0.000 0.000 0.000
2 C 0.000 0.000 0.500
3 C 0.000 0.500 0.000
4 C 0.500 0.000 0.000
5 S 0.500 0.500 0.500

Results
M_tot   0.00 μB per formula unit
Energy   -0.2187 Ha/atom
Energy above the most stable polymorph in this dataset   0.000 eV/atom
Energy relative to the elements, uncorrected   11.32 eV per formula unit
DOS(E_F)   1.75 states/eV per cell

---

Material: RuCS3
Method: DFT, PBE-GGA
State: relaxed

Cell: 3.995 3.995 3.995 Å, 90.00 90.00 90.00°
Sites, in units of the cell vectors:
1 Ru 0.000 0.000 0.000
2 C 0.500 0.500 0.500
3 S 0.000 0.500 0.500
4 S 0.500 0.000 0.500
5 S 0.500 0.500 0.000

Results
M_tot   0.00 μB per formula unit
Energy   -0.1786 Ha/atom
Energy above the most stable polymorph in this dataset   0.000 eV/atom
Energy relative to the elements, uncorrected   6.58 eV per formula unit
DOS(E_F)   5.36 states/eV per cell

---

Material: Ru3CS
Method: DFT, PBE-GGA
State: relaxed

Cell: 4.048 4.048 4.048 Å, 90.00 90.00 90.00°
Sites, in units of the cell vectors:
1 Ru 0.000 0.000 0.500
2 Ru 0.000 0.500 0.000
3 Ru 0.500 0.000 0.000
4 C 0.000 0.000 0.000
5 S 0.500 0.500 0.500

Results
M_tot   0.00 μB per formula unit
Energy   -0.2795 Ha/atom
Energy above the most stable polymorph in this dataset   0.000 eV/atom
Energy relative to the elements, uncorrected   3.16 eV per formula unit
DOS(E_F)   1.91 states/eV per cell

---

Material: RuCS3
Method: DFT, PBE-GGA
State: relaxed

Cell: 4.582 4.582 4.582 Å, 90.00 90.00 90.00°
Sites, in units of the cell vectors:
1 Ru 0.000 0.000 0.000
2 C 0.500 0.500 0.500
3 S 0.000 0.000 0.500
4 S 0.000 0.500 0.000
5 S 0.500 0.000 0.000

Results
M_tot   0.28 μB per formula unit
Energy   -0.1612 Ha/atom
Energy above the most stable polymorph in this dataset   0.473 eV/atom
Energy relative to the elements, uncorrected   8.94 eV per formula unit
DOS(E_F)   7.56 states/eV per cell

---

Material: RuC3S
Method: DFT, PBE-GGA
State: relaxed

Cell: 3.587 3.587 3.587 Å, 90.00 90.00 90.00°
Sites, in units of the cell vectors:
1 Ru 0.000 0.000 0.000
2 C 0.000 0.500 0.500
3 C 0.500 0.000 0.500
4 C 0.500 0.500 0.000
5 S 0.500 0.500 0.500

Results
M_tot   0.00 μB per formula unit
Energy   -0.2095 Ha/atom
Energy above the most stable polymorph in this dataset   0.250 eV/atom
Energy relative to the elements, uncorrected   12.57 eV per formula unit
DOS(E_F)   3.92 states/eV per cell

---

Material: RuC2S
Method: DFT, PBE-GGA
State: relaxed

Cell: 5.210 5.210 5.210 Å, 127.90 127.90 76.78°
Sites, in units of the cell vectors:
1 Ru 0.000 0.000 0.000
2 Ru 0.750 0.250 0.500
3 C 0.168 0.625 0.043
4 C 0.375 0.418 0.543
5 C 0.582 0.125 0.957
6 C 0.875 0.832 0.457
7 S 0.250 0.750 0.500
8 S 0.500 0.500 0.000

Results
M_tot   0.00 μB per formula unit
Energy   -0.2534 Ha/atom
Energy relative to the elements, uncorrected   4.27 eV per formula unit
DOS(E_F)   0.11 states/eV per cell

---

Material: Sb2RuCS
Method: DFT, PBE-GGA
State: relaxed

Cell: 5.262 5.262 4.253 Å, 90.00 90.00 90.00°
Sites, in units of the cell vectors:
1 Sb 0.000 0.500 0.000
2 Sb 0.500 0.000 0.000
3 Ru 0.000 0.000 0.000
4 C 0.500 0.500 0.500
5 S 0.000 0.000 0.500

Results
M_tot   0.74 μB per formula unit
Energy   -0.1711 Ha/atom
Energy relative to the elements, uncorrected   7.59 eV per formula unit
DOS(E_F)   3.33 states/eV per cell